Entry from Alexandria: BeO2F2 at its PBEsol-relaxed geometry (meta-GGA SCAN).

The calculation puts the total moment at 0.2 Bohr magnetons per cell. The value obtained for the volume is 47.0 Å³ per cell. For the uncorrected formation energy, the calculation gives 430 meV per atom.

It has space group P4/mmm (No. 123), with a = 3.6236 Å, b = 3.6236 Å, c = 3.5761 Å, α = 90.00°, β = 90.00° and γ = 90.00°. Symmetry generates all atoms from Be at (0.0000, 0.0000, 0.0000), O at (0.5000, 0.5000, 0.0000), O at (0.5000, 0.5000, 0.5000) and F at (0.0000, 0.5000, 0.5000).